[1]
Here is an optimized crystal structure of CrAuS2 from the Alexandria database. Energies are from GGA-PBEsol.

Space group: No. 166
Uncorrected formation energy (eV per atom): -0.478
Total energy (eV/atom): -6.2112
Density of states at the Fermi level (states/eV/f.u.): 0.176

a b c (Å): 7.3464 7.3464 7.3464
angles (deg): 27.23 27.23 27.23
Fractional coordinates of all 4 atoms:
Cr 0.0000 0.0000 0.0000
Au 0.5000 0.5000 0.5000
S 0.3923 0.3923 0.3923
S 0.6077 0.6077 0.6077



[2]
Here is an optimized crystal structure of CrAu2S2 from the Alexandria database. Energies are from GGA-PBEsol.

Space group: No. 139
Uncorrected formation energy (eV per atom): 0.506
Total energy (eV/atom): -4.8657
Density of states at the Fermi level (states/eV/f.u.): 4.037

a b c (Å): 8.9063 8.9063 8.9063
angles (deg): 159.16 159.16 29.65
Fractional coordinates of all 5 atoms:
Cr 0.0000 0.0000 0.0000
Au 0.4118 0.4118 0.0000
Au 0.5882 0.5882 0.0000
S 0.2500 0.7500 0.5000
S 0.7500 0.2500 0.5000



[3]
Here is an optimized crystal structure of CrTeAu2S from the Alexandria database. Energies are from GGA-PBEsol.

Space group: No. 123
Uncorrected formation energy (eV per atom): 0.714
Total energy (eV/atom): -4.4861
Density of states at the Fermi level (states/eV/f.u.): 2.341

a b c (Å): 4.5646 4.5646 5.6508
angles (deg): 90.00 90.00 90.00
Fractional coordinates of all 5 atoms:
Cr 0.0000 0.0000 0.0000
Te 0.5000 0.5000 0.0000
Au 0.0000 0.5000 0.5000
Au 0.5000 0.0000 0.5000
S 0.5000 0.5000 0.5000



Repeat the third record exactly.
Here is an optimized crystal structure of CrTeAu2S from the Alexandria database. Energies are from GGA-PBEsol.

Space group: No. 123
Uncorrected formation energy (eV per atom): 0.714
Total energy (eV/atom): -4.4861
Density of states at the Fermi level (states/eV/f.u.): 2.341

a b c (Å): 4.5646 4.5646 5.6508
angles (deg): 90.00 90.00 90.00
Fractional coordinates of all 5 atoms:
Cr 0.0000 0.0000 0.0000
Te 0.5000 0.5000 0.0000
Au 0.0000 0.5000 0.5000
Au 0.5000 0.0000 0.5000
S 0.5000 0.5000 0.5000